# 1
This record from the Alexandria database describes a relaxed LiLaYS3 crystal. The functional is PBE-GGA.

abc: 3.912 8.192 8.550
angles: 103.14 90.00 90.00
Positions (direct):
S  0.750  0.899  0.135
S  0.750  0.432  0.171
S  0.250  0.568  0.829
S  0.250  0.788  0.497
S  0.250  0.101  0.865
S  0.750  0.212  0.503
Li  0.250  0.088  0.585
Li  0.750  0.912  0.415
La  0.750  0.813  0.777
La  0.250  0.187  0.223
Y  0.750  0.336  0.837
Y  0.250  0.664  0.163

Output
electronic total energy: -6.177 eV/atom
space group: P2_1/m (11)



# 2
This record from the Alexandria database describes a relaxed Sr2NpNb3N8 crystal. The functional is PBE-GGA.

abc: 6.441 6.441 7.220
angles: 63.51 63.51 60.00
Site moments in Bohr magnetons follow the coordinates.
Positions (direct):
N  0.714  0.714  0.858  -0.01
N  0.271  0.271  0.187  0.00
N  0.750  0.280  0.220  -0.05
N  0.210  0.719  0.861  -0.04
N  0.210  0.210  0.861  -0.04
N  0.750  0.750  0.220  -0.05
N  0.719  0.210  0.861  -0.04
N  0.280  0.750  0.220  -0.05
Np  0.972  0.972  0.083  1.90
Sr  0.492  0.492  0.523  0.00
Sr  0.145  0.145  0.566  0.01
Nb  0.989  0.495  0.021  0.11
Nb  0.495  0.989  0.021  0.11
Nb  0.495  0.495  0.021  0.11

Output
electronic total energy: -8.947 eV/atom
space group: R3m (160)



# 3
This record from the Alexandria database describes a relaxed AcTb2ErS6 crystal. The functional is PBE-GGA.

abc: 7.081 7.081 7.447
angles: 61.61 61.61 60.00
Positions (direct):
Ac  0.803  0.803  0.592
S  0.376  0.722  0.747
S  0.722  0.154  0.748
S  0.154  0.376  0.748
S  0.919  0.611  0.244
S  0.227  0.919  0.244
S  0.611  0.227  0.244
Tb  0.521  0.521  0.438
Tb  0.013  0.013  0.962
Er  0.317  0.317  0.048

Output
electronic total energy: -6.341 eV/atom
space group: R3 (146)



# 4
This record from the Alexandria database describes a relaxed SrZr3Br crystal. The functional is PBE-GGA.

abc: 5.343 5.343 5.343
angles: 90.00 90.00 90.00
Site moments in Bohr magnetons follow the coordinates.
Positions (direct):
Zr  0.500  0.000  0.000  0.35
Zr  0.000  0.500  0.000  0.34
Zr  0.000  0.000  0.500  0.31
Sr  0.000  0.000  0.000  0.05
Br  0.500  0.500  0.500  0.01

Output
distance to the lowest polymorph of the same formula: 7.65 eV/f.u.
electronic total energy: -3.936 eV/atom
space group: Pm-3m (221)



# 5
This record from the Alexandria database describes a relaxed SmPuCdAu crystal. The functional is PBE-GGA.

abc: 5.275 5.275 5.275
angles: 60.00 60.00 60.00
Site moments in Bohr magnetons follow the coordinates.
Positions (direct):
Cd  0.750  0.750  0.750  0.01
Au  0.250  0.250  0.250  0.01
Sm  0.500  0.500  0.500  0.10
Pu  0.000  0.000  0.000  5.42

Output
electronic total energy: -6.118 eV/atom
space group: F-43m (216)



# 6
This record from the Alexandria database describes a relaxed CsBaNa2Pb crystal. The functional is PBE-GGA.

abc: 6.402 6.402 6.797
angles: 90.00 90.00 90.00
Positions (direct):
Ba  0.000  0.000  0.500
Pb  0.000  0.000  0.000
Cs  0.500  0.500  0.500
Na  0.500  0.000  0.000
Na  0.000  0.500  0.000

Output
electronic total energy: -1.868 eV/atom
space group: P4/mmm (123)



# 7
This record from the Alexandria database describes a relaxed LuGa4Sb crystal. The functional is PBE-GGA.

abc: 5.568 5.568 5.568
angles: 60.00 60.00 60.00
Positions (direct):
Sb  0.250  0.250  0.250
Ga  0.125  0.625  0.625
Ga  0.625  0.625  0.125
Ga  0.625  0.625  0.625
Ga  0.625  0.125  0.625
Lu  0.000  0.000  0.000

Output
electronic total energy: -3.639 eV/atom
space group: F-43m (216)



# 8
This record from the Alexandria database describes a relaxed Np3H12Ru5 crystal. The functional is PBE-GGA.

abc: 9.950 9.950 9.950
angles: 109.47 109.47 109.47
Site moments in Bohr magnetons follow the coordinates.
Positions (direct):
H  0.979  0.398  0.305  0.00
H  0.305  0.407  0.826  0.00
H  0.419  0.398  0.593  0.00
H  0.695  0.102  0.021  0.00
H  0.102  0.695  0.521  0.00
H  0.674  0.195  0.593  0.00
H  0.521  0.195  0.102  0.00
H  0.326  0.805  0.407  0.00
H  0.907  0.826  0.805  0.00
H  0.919  0.826  0.521  0.00
H  0.593  0.695  0.674  0.00
H  0.898  0.593  0.919  0.00
H  0.102  0.407  0.081  0.00
H  0.805  0.479  0.398  0.00
H  0.419  0.021  0.326  0.00
H  0.407  0.305  0.326  0.00
H  0.093  0.174  0.195  0.00
H  0.826  0.907  0.305  0.00
H  0.898  0.305  0.479  0.00
H  0.479  0.805  0.898  0.00
H  0.093  0.919  0.398  0.00
H  0.593  0.898  0.419  0.00
H  0.907  0.081  0.602  0.00
H  0.674  0.479  0.581  0.00
H  0.581  0.979  0.674  0.00
H  0.521  0.326  0.919  0.00
H  0.021  0.602  0.695  0.00
H  0.602  0.021  0.195  0.00
H  0.081  0.174  0.479  0.00
H  0.174  0.081  0.979  0.00
H  0.805  0.326  0.907  0.00
H  0.695  0.593  0.174  0.00
H  0.081  0.907  0.102  0.00
H  0.174  0.093  0.695  0.00
H  0.919  0.093  0.898  0.00
H  0.305  0.898  0.979  0.00
H  0.826  0.919  0.021  0.00
H  0.479  0.674  0.081  0.00
H  0.398  0.979  0.805  0.00
H  0.581  0.602  0.407  0.00
H  0.195  0.521  0.602  0.00
H  0.195  0.674  0.093  0.00
H  0.979  0.581  0.174  0.00
H  0.407  0.102  0.581  0.00
H  0.398  0.419  0.093  0.00
H  0.326  0.521  0.419  0.00
H  0.602  0.581  0.907  0.00
H  0.021  0.419  0.826  0.00
Np  0.875  0.750  0.125  3.59
Np  0.125  0.250  0.875  3.59
Np  0.750  0.875  0.625  3.59
Np  0.250  0.625  0.875  3.59
Np  0.375  0.750  0.625  3.59
Np  0.750  0.375  0.125  3.59
Np  0.625  0.250  0.375  3.59
Np  0.250  0.125  0.375  3.59
Np  0.375  0.625  0.250  3.59
Np  0.125  0.875  0.750  3.59
Np  0.625  0.375  0.750  3.59
Np  0.875  0.125  0.250  3.59
Ru  0.250  0.375  0.625  -0.27
Ru  0.875  0.625  0.750  -0.27
Ru  0.625  0.875  0.250  -0.27
Ru  0.000  0.500  0.500  -0.21
Ru  0.625  0.750  0.875  -0.27
Ru  0.500  0.500  0.000  -0.21
Ru  0.375  0.250  0.125  -0.27
Ru  0.500  0.500  0.500  -0.21
Ru  0.750  0.125  0.875  -0.27
Ru  0.250  0.875  0.125  -0.27
Ru  0.000  0.000  0.500  -0.21
Ru  0.125  0.375  0.250  -0.27
Ru  0.125  0.750  0.375  -0.27
Ru  0.000  0.500  0.000  -0.21
Ru  0.750  0.625  0.375  -0.27
Ru  0.500  0.000  0.500  -0.21
Ru  0.875  0.250  0.625  -0.27
Ru  0.500  0.000  0.000  -0.21
Ru  0.000  0.000  0.000  -0.21
Ru  0.375  0.125  0.750  -0.27

Output
electronic total energy: -6.266 eV/atom
space group: Ia-3d (230)